Record 1
Material: CoHgBr2
Method: DFT, PBE
State: optimized geometry

Results
E (eV/atom): -2.586
Energy relative to the elements, uncorrected (eV/atom): 0.10
Excess energy over the best structure of this formula in the dataset (eV per atom): 0.281
Total magnetic moment (μB per cell): 1.1
Volume (Å³/atom): 28.76

a b c (Å): 4.0090 4.0090 9.0200
angles (deg): 90.00 90.00 127.48
Each line ends with the local moment (μB).
Fractional coordinates of all 4 atoms:
Hg1 0.5000 0.5000 0.7171  -0.04
Br1 0.0000 0.0000 0.9444  -0.05
Br2 0.5000 0.5000 0.3354  0.00
Co1 0.0000 0.0000 0.5030  1.23

***

Record 2
Material: CoHgBr
Method: DFT, PBE
State: optimized geometry

Results
E (eV/atom): -2.513
Energy relative to the elements, uncorrected (eV/atom): 0.51
Excess energy over the best structure of this formula in the dataset (eV per atom): 0.379
Total magnetic moment (μB per cell): 2.0
Volume (Å³/atom): 23.14

a b c (Å): 4.6134 4.6134 4.6134
angles (deg): 60.00 60.00 60.00
Each line ends with the local moment (μB).
Fractional coordinates of all 3 atoms:
Br1 0.5000 0.5000 0.5000  0.10
Co1 0.2500 0.2500 0.2500  1.88
Hg1 0.0000 0.0000 0.0000  0.05

***

Record 3
Material: Co2HgBr6
Method: DFT, PBE
State: optimized geometry

Results
E (eV/atom): -2.998
Energy relative to the elements, uncorrected (eV/atom): -0.27
Total magnetic moment (μB per cell): 12.0
Volume (Å³/atom): 35.19

a b c (Å): 6.7694 11.0067 11.0067
angles (deg): 76.07 61.51 61.51
Each line ends with the local moment (μB).
Fractional coordinates of all 18 atoms:
Br1 0.6137 0.3135 0.4423  0.23
Br2 0.8863 0.5577 0.6865  0.23
Br3 0.2933 0.0356 0.2117  0.01
Br4 0.1137 0.4423 0.3135  0.23
Br5 0.8437 0.8397 0.3941  0.25
Br6 0.2067 0.7883 0.9644  0.01
Br7 0.6563 0.6059 0.1603  0.25
Br8 0.3863 0.6865 0.5577  0.23
Br9 0.3437 0.3941 0.8397  0.25
Br10 0.1563 0.1603 0.6059  0.25
Br11 0.7933 0.2117 0.0356  0.01
Br12 0.7067 0.9644 0.7883  0.01
Co1 0.6663 0.5288 0.3691  2.30
Co2 0.3337 0.4712 0.6309  2.30
Co3 0.8337 0.6309 0.4712  2.30
Co4 0.1663 0.3691 0.5288  2.30
Hg1 0.2500 0.0818 0.9182  0.00
Hg2 0.7500 0.9182 0.0818  0.00

***

Record 4
Material: CoHgBr2
Method: DFT, PBE
State: optimized geometry

Results
E (eV/atom): -2.747
Energy relative to the elements, uncorrected (eV/atom): -0.06
Excess energy over the best structure of this formula in the dataset (eV per atom): 0.119
Total magnetic moment (μB per cell): 2.0
Volume (Å³/atom): 36.41

a b c (Å): 4.3109 4.3109 10.6190
angles (deg): 90.00 90.00 132.45
Each line ends with the local moment (μB).
Fractional coordinates of all 4 atoms:
Co1 0.5000 0.5000 0.2500  1.80
Hg1 0.5000 0.5000 0.7500  -0.01
Br1 0.0000 0.0000 0.4046  0.06
Br2 0.0000 0.0000 0.0954  0.06

***

Record 5
Material: Co4HgBr
Method: DFT, PBE
State: optimized geometry

Results
E (eV/atom): -4.393
Energy relative to the elements, uncorrected (eV/atom): 0.67
Total magnetic moment (μB per cell): 7.9
Volume (Å³/atom): 15.10

a b c (Å): 5.0416 5.0416 5.0416
angles (deg): 60.00 60.00 60.00
Each line ends with the local moment (μB).
Fractional coordinates of all 6 atoms:
Co1 0.3748 0.8755 0.3748  1.92
Co2 0.3748 0.3748 0.3748  1.92
Co3 0.3748 0.3748 0.8755  1.92
Co4 0.8755 0.3748 0.3748  1.92
Br1 0.0000 0.0000 0.0000  0.21
Hg1 0.7500 0.7500 0.7500  0.01

***

Record 6
Material: CoHg3Br9
Method: DFT, PBE
State: optimized geometry

Results
E (eV/atom): -2.108
Energy relative to the elements, uncorrected (eV/atom): -0.33
Total magnetic moment (μB per cell): 4.0
Volume (Å³/atom): 40.06

a b c (Å): 9.3088 11.0884 12.0703
angles (deg): 83.60 67.32 65.18
Each line ends with the local moment (μB).
Fractional coordinates of all 26 atoms:
Br1 0.4595 0.8386 0.4402  0.09
Br2 0.4036 0.5019 0.4094  0.01
Br3 0.6851 0.0019 0.9094  0.01
Br4 0.4140 0.1813 0.2464  0.11
Br5 0.2615 0.8891 0.1700  0.00
Br6 0.1172 0.6506 0.0450  -0.03
Br7 0.0422 0.0911 0.9639  0.00
Br8 0.9187 0.3116 0.2610  0.00
Br9 0.2617 0.3386 0.9402  0.09
Br10 0.9028 0.5911 0.4639  0.00
Br11 0.5087 0.8116 0.7610  0.00
Br12 0.1583 0.6813 0.7464  0.11
Br13 0.5687 0.1485 0.5129  0.13
Br14 0.7699 0.6485 0.0129  0.13
Br15 0.0351 0.4261 0.7722  -0.03
Br16 0.7667 0.9261 0.2722  -0.03
Br17 0.1871 0.1506 0.5450  -0.03
Br18 0.6794 0.3891 0.6700  0.00
Hg1 0.8798 0.1037 0.2573  0.00
Hg2 0.1289 0.3627 0.3877  0.00
Hg3 0.3386 0.7054 0.3006  0.01
Hg4 0.6554 0.2054 0.8006  0.01
Hg5 0.1207 0.8627 0.8877  0.00
Hg6 0.7592 0.6037 0.7573  0.00
Co1 0.4745 0.0470 0.4111  1.55
Co2 0.0675 0.5470 0.9111  1.55

***

What is the formula in the sixth record?
CoHg3Br9

***

What did the second record say?
Material: CoHgBr
Method: DFT, PBE
State: optimized geometry

Results
E (eV/atom): -2.513
Energy relative to the elements, uncorrected (eV/atom): 0.51
Excess energy over the best structure of this formula in the dataset (eV per atom): 0.379
Total magnetic moment (μB per cell): 2.0
Volume (Å³/atom): 23.14

a b c (Å): 4.6134 4.6134 4.6134
angles (deg): 60.00 60.00 60.00
Each line ends with the local moment (μB).
Fractional coordinates of all 3 atoms:
Br1 0.5000 0.5000 0.5000  0.10
Co1 0.2500 0.2500 0.2500  1.88
Hg1 0.0000 0.0000 0.0000  0.05

***

Which value of volume does entry 2 give?
23.14 Å³/atom

***

E of number 2 (CoHgBr)?
-2.513 eV/atom